(i)
Entry from Alexandria: crystalline CaNd2Cd2 at its relaxed geometry (PBE).

Values from the calculation:
Crystal system ... monoclinic
SG ... C2/m
Density of states at the Fermi level ... 0.859 states/eV/atom

Lattice parameters (Å, degrees): 16.8321 5.0781 3.6131 90.00 90.14 90.00
Atoms (fractional coordinates):
Ca: 0.0000 0.0000 0.0000
Ca: 0.5000 0.5000 0.0000
Nd: 0.1324 0.5000 0.4979
Nd: 0.3676 0.0000 0.5021
Nd: 0.6324 0.0000 0.4979
Nd: 0.8676 0.5000 0.5021
Cd: 0.1984 0.0000 0.9989
Cd: 0.3016 0.5000 0.0011
Cd: 0.6984 0.5000 0.9989
Cd: 0.8016 0.0000 0.0011



(ii)
Entry from Alexandria: crystalline CaNd2Cd2 at its relaxed geometry (PBE).

Values from the calculation:
Crystal system ... monoclinic
SG ... P2_1/m
Density of states at the Fermi level ... 1.145 states/eV/atom

Lattice parameters (Å, degrees): 3.8185 5.5139 14.4947 90.00 97.61 90.00
Atoms (fractional coordinates):
Ca: 0.1456 0.2500 0.2900
Ca: 0.8544 0.7500 0.7100
Nd: 0.0478 0.7500 0.0940
Nd: 0.2340 0.7500 0.4686
Nd: 0.7660 0.2500 0.5314
Nd: 0.9522 0.2500 0.9060
Cd: 0.3580 0.2500 0.7161
Cd: 0.4501 0.7500 0.9021
Cd: 0.5499 0.2500 0.0979
Cd: 0.6420 0.7500 0.2838



The structure with the most favorable energy is (ii); the runner-up is 58 meV per atom above it.